Entry 1:
The following is a DFT calculation (PBE) of an optimized crystal structure of HfScPd2.

Geometry as extended XYZ:
```
4
Lattice="2.299 1.328 3.755 -2.299 1.328 3.755 0.000 -2.655 3.755" Properties=species:S:1:pos:R:3 pbc="T T T"
Sc 0.000 0.000 0.000
Hf 0.000 0.000 2.816
Pd 0.000 0.000 8.448
Pd 0.000 0.000 5.632
```

**DFT formation energy**: -509.9 meV/atom
**Space-group type**: No. 216


Entry 2:
The following is a DFT calculation (PBE) of an optimized crystal structure of HgPb4C2S.

Geometry as extended XYZ:
```
8
Lattice="3.787 0.000 0.000 -1.893 3.280 0.000 0.000 0.000 14.958" Properties=species:S:1:pos:R:3 pbc="T T T"
Pb 0.000 0.000 9.446
Pb 1.893 1.093 2.739
Pb 0.000 0.000 5.511
Pb 1.893 1.093 12.218
Hg 0.000 0.000 0.000
C 0.000 2.186 11.047
C 0.000 2.186 3.911
S 1.893 1.093 7.479
```

**Space-group type**: No. 187


Entry 3:
The following is a DFT calculation (PBE) of an optimized crystal structure of HfScU.

Geometry as extended XYZ:
```
3
Lattice="0.000 3.429 3.429 3.429 0.000 3.429 3.429 3.429 0.000" Properties=species:S:1:pos:R:3 pbc="T T T"
U 0.000 0.000 0.000
Sc 5.144 5.144 5.144
Hf 1.715 1.715 1.715
```

**DFT formation energy**: 1309.1 meV/atom
**Space-group type**: No. 216


Entry 4:
The following is a DFT calculation (PBE) of an optimized crystal structure of DyNi8Sb2.

Geometry as extended XYZ:
```
11
Lattice="-1.890 -3.553 4.880 0.789 -5.626 2.782 5.462 7.134 -0.074" Properties=species:S:1:pos:R:3 pbc="T T T"
Sb 0.742 -1.258 2.190
Sb 3.620 -0.787 5.398
Ni 4.375 5.073 0.574
Ni 1.740 0.875 1.357
Ni 1.341 -4.887 6.539
Ni 2.993 0.514 3.313
Ni 3.020 2.842 1.048
Ni 2.621 -2.920 6.230
Ni -0.013 -7.118 7.014
Ni 1.369 -2.559 4.275
Dy -0.550 -4.590 3.831
```

**Space-group type**: No. 12


Entry 5:
The following is a DFT calculation (PBE) of an optimized crystal structure of LiErNO.

Geometry as extended XYZ:
```
8
Lattice="1.543 1.913 -3.145 -3.645 2.470 -0.286 2.519 4.154 3.763" Properties=species:S:1:pos:R:3 pbc="T T T"
O -0.441 2.677 -1.121
O -0.517 6.793 1.345
Li -0.808 2.394 1.060
Li -1.699 5.166 2.309
Er 1.171 5.338 1.289
Er -2.131 4.133 -1.065
N 0.017 3.731 2.278
N -2.504 3.815 1.092
```

**Space-group type**: No. 26


Entry 6:
The following is a DFT calculation (PBE) of an optimized crystal structure of Ta4AlCuN2.

Geometry as extended XYZ:
```
8
Lattice="2.967 0.000 0.000 -1.484 2.570 0.000 0.000 0.000 14.395" Properties=species:S:1:pos:R:3 pbc="T T T"
Al 0.000 0.000 0.000
Ta 0.000 0.000 5.006
Ta 0.000 0.000 9.388
Ta 1.484 0.857 2.257
Ta 1.484 0.857 12.138
Cu 1.484 0.857 7.197
N 0.000 1.713 10.764
N 0.000 1.713 3.630
```

**Space-group type**: No. 187


Entry 7:
The following is a DFT calculation (PBE) of an optimized crystal structure of HfMg2Tc.

Geometry as extended XYZ:
```
4
Lattice="1.911 -2.701 -3.328 1.989 -4.091 1.154 -2.061 -4.037 -1.216" Properties=species:S:1:pos:R:3 pbc="T T T"
Hf 0.000 0.000 0.000
Mg 1.380 -8.122 -2.542
Mg 0.920 -5.414 -1.695
Tc 0.460 -2.707 -0.847
```

**Space-group type**: No. 216


Entry 8:
The following is a DFT calculation (PBE) of an optimized crystal structure of Tm2Ga.

Geometry as extended XYZ:
```
6
Lattice="4.366 2.521 7.130 -4.366 2.521 7.130 0.000 -5.042 7.130" Properties=species:S:1:pos:R:3 pbc="T T T"
Ga 0.000 0.000 5.347
Ga 0.000 0.000 10.695
Tm 0.000 -2.521 11.586
Tm 2.183 1.260 11.586
Tm -2.183 1.260 11.586
Tm 0.000 0.000 8.021
```

**Space-group type**: No. 227


| no. | electronic total energy (eV for the cell shown) | volume (A^3/atom) |
| --- | --- | --- |
| 1 | -28.67 | 17.19 |
| 2 | -31.69 | 23.22 |
| 3 | -23.65 | 26.88 |
| 4 | -60.00 | 14.54 |
| 5 | -52.13 | 13.53 |
| 6 | -75.49 | 13.72 |
| 7 | -23.01 | 18.27 |
| 8 | -16.53 | 78.48 |